Entry from the Alexandria database: a relaxed structure of MnAlBi2O6 (PBE+U).

Results
Symmetry = P2_1/c, No. 14
V = 11.5 Å³/atom
Calculated total energy = -6.473 eV/atom

abc: 5.4178 5.5127 7.6978
angles: 90.00 89.98 90.00
Positions (direct):
Mn: 0.5000 0.0000 0.5000
Mn: 0.0000 0.5000 0.0000
Al: 0.5000 0.0000 0.0000
Al: 0.0000 0.5000 0.5000
Bi: 0.0071 0.9495 0.2510
Bi: 0.5071 0.5505 0.7510
Bi: 0.9929 0.0505 0.7490
Bi: 0.4929 0.4495 0.2490
O: 0.2980 0.7137 0.0387
O: 0.7980 0.7863 0.5387
O: 0.7020 0.2863 0.9613
O: 0.2020 0.2137 0.4613
O: 0.2860 0.7071 0.4605
O: 0.7860 0.7929 0.9605
O: 0.7140 0.2929 0.5395
O: 0.2140 0.2071 0.0395
O: 0.9230 0.5190 0.2550
O: 0.4230 0.9810 0.7550
O: 0.0770 0.4810 0.7450
O: 0.5770 0.0190 0.2450